[1]
# LaV (PBE-GGA, optimized geometry)
data_LaV
_chemical_formula_sum 'La6 V6'
_symmetry_space_group_name_H-M 'P m m n'
_symmetry_Int_Tables_number 59
_cell_length_a 3.479
_cell_length_b 16.414
_cell_length_c 5.172
_cell_angle_alpha 90.00
_cell_angle_beta 90.00
_cell_angle_gamma 90.00
loop_
_symmetry_equiv_pos_as_xyz
'x,y,z'
'-x,-y,-z'
'-x+1/2,-y+1/2,z'
'x+1/2,y+1/2,-z'
'x+1/2,-y,-z'
'-x+1/2,y,z'
'-x,y+1/2,-z'
'x,-y+1/2,z'
loop_
_atom_site_label
_atom_site_type_symbol
_atom_site_fract_x
_atom_site_fract_y
_atom_site_fract_z
La1 La 0.250 0.085 0.089
La2 La 0.250 0.750 0.676
V1 V 0.250 0.250 0.790
V2 V 0.250 0.579 0.408
# Calculated formation energy   0.737 eV/atom
# Energy above the most stable polymorph in this dataset   0.3307 eV/atom
# V   24.613 Å³ per atom

---

[2]
# LaV (PBE-GGA, optimized geometry)
data_LaV
_chemical_formula_sum 'La6 V6'
_symmetry_space_group_name_H-M 'P m n 21'
_symmetry_Int_Tables_number 31
_symmetry_space_group_name_Hall 'P 2ac -2'
_cell_length_a 12.967
_cell_length_b 3.508
_cell_length_c 6.685
_cell_angle_alpha 90.00
_cell_angle_beta 90.00
_cell_angle_gamma 90.00
loop_
_atom_site_label
_atom_site_type_symbol
_atom_site_fract_x
_atom_site_fract_y
_atom_site_fract_z
La1 La 0.000 0.213 0.000
La2 La 0.214 0.711 0.265
V1 V 0.000 0.319 0.484
V2 V 0.094 0.799 0.666
# Calculated formation energy   0.432 eV/atom
# Energy above the most stable polymorph in this dataset   0.0253 eV/atom
# V   25.344 Å³ per atom

---

[3]
# LaV (PBE-GGA, optimized geometry)
data_LaV
_chemical_formula_sum 'La16 V16'
_symmetry_space_group_name_H-M 'F d d d'
_symmetry_Int_Tables_number 70
_cell_length_a 5.863
_cell_length_b 9.627
_cell_length_c 14.214
_cell_angle_alpha 90.00
_cell_angle_beta 90.00
_cell_angle_gamma 90.00
loop_
_symmetry_equiv_pos_as_xyz
'x,y,z'
'-x,-y,-z'
'-x+1/4,-y+1/4,z'
'x+1/4,y+1/4,-z'
'x,-y+1/4,-z+1/4'
'-x,y+1/4,z+1/4'
'-x+1/4,y,-z+1/4'
'x+1/4,-y,z+1/4'
'x,y+1/2,z+1/2'
'-x,-y+1/2,-z+1/2'
'-x+1/4,-y+3/4,z+1/2'
'x+1/4,y+3/4,-z+1/2'
'x,-y+3/4,-z+3/4'
'-x,y+3/4,z+3/4'
'-x+1/4,y+1/2,-z+3/4'
'x+1/4,-y+1/2,z+3/4'
'x+1/2,y,z+1/2'
'-x+1/2,-y,-z+1/2'
'-x+3/4,-y+1/4,z+1/2'
'x+3/4,y+1/4,-z+1/2'
'x+1/2,-y+1/4,-z+3/4'
'-x+1/2,y+1/4,z+3/4'
'-x+3/4,y,-z+3/4'
'x+3/4,-y,z+3/4'
'x+1/2,y+1/2,z'
'-x+1/2,-y+1/2,-z'
'-x+3/4,-y+3/4,z'
'x+3/4,y+3/4,-z'
'x+1/2,-y+3/4,-z+1/4'
'-x+1/2,y+3/4,z+1/4'
'-x+3/4,y+1/2,-z+1/4'
'x+3/4,-y+1/2,z+1/4'
loop_
_atom_site_label
_atom_site_type_symbol
_atom_site_fract_x
_atom_site_fract_y
_atom_site_fract_z
La1 La 0.125 0.292 0.125
V1 V 0.125 0.125 0.557
# Calculated formation energy   0.418 eV/atom
# Energy above the most stable polymorph in this dataset   0.0112 eV/atom
# V   25.070 Å³ per atom